(1)
This record from Alexandria via LeMat-Bulk describes a relaxed Ba8TlSb3I4 crystal. The functional is PBE.

It has space group R-3m (No. 166, hexagonal axes), with a = 10.1628 Å, b = 10.1628 Å, c = 25.3870 Å, α = 90.00°, β = 90.00° and γ = 120.00°. The asymmetric unit holds Ba at (0.0000, 0.0000, 0.2386), Ba at (0.0042, 0.5021, 0.7597), Tl at (0.0000, 0.0000, 0.5000), Sb at (0.0000, 0.5000, 0.5000), I at (0.0000, 0.0000, 0.0000) and I at (0.0000, 0.5000, 0.0000).

The crystal system is trigonal.

=====

(2)
This record from Alexandria via LeMat-Bulk describes a relaxed BaTlSb2I crystal. The functional is PBE.

It has space group P4/mmm (No. 123), with a = 6.531 Å, b = 6.531 Å, c = 6.652 Å, α = 90.00°, β = 90.00° and γ = 90.00°. The asymmetric unit holds Ba at (0.000, 0.000, 0.000), Tl at (0.500, 0.500, 0.500), Sb at (0.000, 0.500, 0.000) and I at (0.000, 0.000, 0.500).

The crystal system is tetragonal. The calculation puts the polymorph energy (0 for the lowest one) at 377 meV per atom.

=====

(3)
This record from Alexandria via LeMat-Bulk describes a relaxed BaVSb2I crystal. The functional is PBE.

It has space group P4/mmm (No. 123), with a = 5.188 Å, b = 5.188 Å, c = 6.105 Å, α = 90.00°, β = 90.00° and γ = 90.00°. The asymmetric unit holds Ba at (0.000, 0.000, 0.000), V at (0.500, 0.500, 0.500), Sb at (0.000, 0.500, 0.500) and I at (0.500, 0.500, 0.000).

The crystal system is tetragonal. The calculation puts the polymorph energy (0 for the lowest one) at 0 meV per atom.

=====

(4)
This record from Alexandria via LeMat-Bulk describes a relaxed BaVSb2I crystal. The functional is PBE.

It has space group P4/mmm (No. 123), with a = 6.405 Å, b = 6.405 Å, c = 6.443 Å, α = 90.00°, β = 90.00° and γ = 90.00°. The asymmetric unit holds Ba at (0.000, 0.000, 0.000), V at (0.500, 0.500, 0.500), Sb at (0.000, 0.500, 0.000) and I at (0.000, 0.000, 0.500).

The crystal system is tetragonal. The calculation puts the polymorph energy (0 for the lowest one) at 1467 meV per atom.

=====

(5)
This record from Alexandria via LeMat-Bulk describes a relaxed BaSb2WI crystal. The functional is PBE.

It has space group P4/mmm (No. 123), with a = 6.476 Å, b = 6.476 Å, c = 6.374 Å, α = 90.00°, β = 90.00° and γ = 90.00°. The asymmetric unit holds Ba at (0.000, 0.000, 0.000), Sb at (0.000, 0.500, 0.000), W at (0.500, 0.500, 0.500) and I at (0.000, 0.000, 0.500).

The crystal system is tetragonal. The calculation puts the polymorph energy (0 for the lowest one) at 1752 meV per atom.

=====

(6)
This record from Alexandria via LeMat-Bulk describes a relaxed BaSb2WI crystal. The functional is PBE.

It has space group P4/mmm (No. 123), with a = 5.837 Å, b = 5.837 Å, c = 6.251 Å, α = 90.00°, β = 90.00° and γ = 90.00°. The asymmetric unit holds Ba at (0.000, 0.000, 0.000), Sb at (0.000, 0.500, 0.500), W at (0.500, 0.500, 0.000) and I at (0.000, 0.000, 0.500).

The crystal system is tetragonal. The calculation puts the polymorph energy (0 for the lowest one) at 1561 meV per atom.

=====

(7)
This record from Alexandria via LeMat-Bulk describes a relaxed BaSb2WI crystal. The functional is PBE.

It has space group P4/mmm (No. 123), with a = 5.254 Å, b = 5.254 Å, c = 6.086 Å, α = 90.00°, β = 90.00° and γ = 90.00°. The asymmetric unit holds Ba at (0.000, 0.000, 0.000), Sb at (0.000, 0.500, 0.500), W at (0.500, 0.500, 0.500) and I at (0.500, 0.500, 0.000).

The crystal system is tetragonal. The calculation puts the polymorph energy (0 for the lowest one) at 0 meV per atom.

=====

(8)
This record from Alexandria via LeMat-Bulk describes a relaxed BaSbWI2 crystal. The functional is PBE.

It has space group P4/mmm (No. 123), with a = 5.783 Å, b = 5.783 Å, c = 5.301 Å, α = 90.00°, β = 90.00° and γ = 90.00°. The asymmetric unit holds Ba at (0.000, 0.000, 0.000), Sb at (0.500, 0.500, 0.000), W at (0.500, 0.500, 0.500) and I at (0.000, 0.500, 0.500).

The crystal system is tetragonal.

=====

Number 1: calculated volume 2270.7 Å³ per cell, final energy -167.9 eV/cell, formation energy (no corrections) -1.229 eV per atom. Number 2: calculated volume 283.7 Å³ per cell, final energy -13.1 eV/cell, formation energy (no corrections) 0.197 eV per atom. Number 3: calculated volume 164.3 Å³ per cell, final energy -23.0 eV/cell, formation energy (no corrections) -0.427 eV per atom. Number 4: calculated volume 264.3 Å³ per cell, final energy -15.6 eV/cell, formation energy (no corrections) 1.040 eV per atom. Number 5: calculated volume 267.3 Å³ per cell, final energy -16.1 eV/cell, formation energy (no corrections) 1.706 eV per atom. Number 6: calculated volume 212.9 Å³ per cell, final energy -17.1 eV/cell, formation energy (no corrections) 1.516 eV per atom. Number 7: calculated volume 168.0 Å³ per cell, final energy -24.9 eV/cell, formation energy (no corrections) -0.046 eV per atom. Number 8: calculated volume 177.3 Å³ per cell, final energy -22.2 eV/cell, formation energy (no corrections) -0.018 eV per atom.